No. 1
DFT (GGA-PBE) results for a relaxed structure of LaDy5Er12.

Values from the calculation:
Formation enthalpy at 0 K = 0.02 eV per atom
DFT total energy = -82.3 eV for the cell shown

Cell: 10.5866 10.5866 6.1183 Å, 106.67 106.67 59.99°
Sites, in units of the cell vectors:
1 La 0.0000 0.0000 0.0000
2 Dy 0.1677 0.1677 0.5028
3 Dy 0.3331 0.3331 0.9997
4 Dy 0.5000 0.5000 0.5000
5 Dy 0.6669 0.6669 0.0003
6 Dy 0.8323 0.8323 0.4972
7 Er 0.9999 0.3361 0.0014
8 Er 0.0001 0.6639 0.9986
9 Er 0.1666 0.5000 0.5004
10 Er 0.1691 0.8309 0.5000
11 Er 0.3349 0.6651 0.0000
12 Er 0.3361 0.9999 0.0014
13 Er 0.5000 0.1666 0.5004
14 Er 0.5000 0.8334 0.4996
15 Er 0.6639 0.0001 0.9986
16 Er 0.6651 0.3349 0.0000
17 Er 0.8309 0.1691 0.5000
18 Er 0.8334 0.5000 0.4996


No. 2
DFT (GGA-PBE) results for a relaxed structure of MoSe2SN.

Values from the calculation:
Offset from the most stable computed form = 0.5755 eV per atom
E_form (uncorrected) = 1088 meV per atom
DFT total energy = -24.8 eV for the cell shown

Cell: 4.9883 4.9883 3.3068 Å, 90.00 90.00 90.00°
Sites, in units of the cell vectors:
1 Mo 0.0000 0.0000 0.0000
2 Se 0.0000 0.5000 0.5000
3 Se 0.5000 0.0000 0.5000
4 S 0.5000 0.5000 0.5000
5 N 0.5000 0.5000 0.0000


No. 3
DFT (GGA-PBE) results for a relaxed structure of NaNdSm.

Values from the calculation:
Offset from the most stable computed form = 0.0652 eV per atom
Formation enthalpy at 0 K = 0.14 eV per atom
DFT total energy = -20.8 eV for the cell shown

Cell: 10.7125 10.7125 5.7461 Å, 90.01 90.01 19.13°
Sites, in units of the cell vectors:
1 Na 0.2082 0.2082 0.2491
2 Na 0.7918 0.7918 0.7509
3 Nd 0.0394 0.0394 0.2504
4 Nd 0.9606 0.9606 0.7496
5 Sm 0.3898 0.3898 0.2503
6 Sm 0.6102 0.6102 0.7497


No. 4
DFT (GGA-PBE) results for a relaxed structure of K3FeAu.

Values from the calculation:
Offset from the most stable computed form = 0.0000 eV per atom
Formation enthalpy at 0 K = 0.61 eV per atom
DFT total energy = -12.0 eV for the cell shown

Cell: 6.3052 6.3052 6.3052 Å, 90.00 90.00 90.00°
Sites, in units of the cell vectors:
1 K 0.0000 0.0000 0.5000
2 K 0.0000 0.5000 0.0000
3 K 0.5000 0.0000 0.0000
4 Fe 0.5000 0.5000 0.5000
5 Au 0.0000 0.0000 0.0000


No. 5
DFT (GGA-PBE) results for a relaxed structure of Ba2NaTe.

Values from the calculation:
E_form (uncorrected) = -779 meV per atom
DFT total energy = -11.4 eV for the cell shown

Cell: 4.4267 4.4267 8.7703 Å, 90.00 90.00 90.00°
Sites, in units of the cell vectors:
1 Ba 0.0000 0.0000 0.2216
2 Ba 0.0000 0.0000 0.7784
3 Na 0.5000 0.5000 0.5000
4 Te 0.5000 0.5000 0.0000


No. 6
DFT (GGA-PBE) results for a relaxed structure of NdTm4Sc2.

Values from the calculation:
Offset from the most stable computed form = 0.0000 eV per atom
Formation enthalpy at 0 K = 0.05 eV per atom
DFT total energy = -70.0 eV for the cell shown

Cell: 6.8785 8.3006 8.5122 Å, 114.34 101.78 101.93°
Sites, in units of the cell vectors:
1 Nd 0.0000 0.0000 0.0000
2 Nd 0.0848 0.7659 0.5760
3 Tm 0.1997 0.3344 0.4570
4 Tm 0.3042 0.8845 0.2917
5 Tm 0.3960 0.4444 0.1229
6 Tm 0.4997 0.9987 0.9882
7 Tm 0.6115 0.5926 0.8518
8 Tm 0.6971 0.3303 0.4529
9 Tm 0.8901 0.4399 0.1127
10 Tm 0.9716 0.1745 0.7122
11 Sc 0.1163 0.5947 0.8570
12 Sc 0.4782 0.1772 0.7186
13 Sc 0.5915 0.7760 0.5807
14 Sc 0.7903 0.8814 0.2847


No. 7
DFT (GGA-PBE) results for a relaxed structure of U3BSe6.

Values from the calculation:
E_form (uncorrected) = -784 meV per atom
DFT total energy = -138.6 eV for the cell shown

Cell: 8.7622 8.7622 6.6175 Å, 90.00 90.00 101.41°
Sites, in units of the cell vectors:
1 U 0.1031 0.8969 0.5000
2 U 0.2303 0.4223 0.6011
3 U 0.4223 0.2303 0.1011
4 U 0.5777 0.7697 0.6011
5 U 0.7697 0.5777 0.1011
6 U 0.8969 0.1031 0.0000
7 B 0.2970 0.7030 0.1439
8 B 0.7030 0.2970 0.6439
9 Se 0.0857 0.6029 0.2831
10 Se 0.1255 0.1971 0.3030
11 Se 0.1971 0.1255 0.8030
12 Se 0.2838 0.7162 0.8282
13 Se 0.3971 0.9143 0.2831
14 Se 0.4446 0.5554 0.2567
15 Se 0.5554 0.4446 0.7567
16 Se 0.6029 0.0857 0.7831
17 Se 0.7162 0.2838 0.3282
18 Se 0.8029 0.8745 0.3030
19 Se 0.8745 0.8029 0.8030
20 Se 0.9143 0.3971 0.7831


No. 8
DFT (GGA-PBE) results for a relaxed structure of ThSiO4.

Values from the calculation:
E_form (uncorrected) = -3257 meV per atom
DFT total energy = -104.4 eV for the cell shown

Cell: 5.9354 5.9354 5.4622 Å, 114.53 114.53 75.82°
Sites, in units of the cell vectors:
1 Th 0.0000 0.5000 0.0000
2 Th 0.5000 0.0000 0.5000
3 Si 0.1720 0.8280 0.7500
4 Si 0.8280 0.1720 0.2500
5 O 0.1190 0.2304 0.3671
6 O 0.2304 0.1190 0.8671
7 O 0.2808 0.6993 0.4839
8 O 0.3007 0.7192 0.0161
9 O 0.6993 0.2808 0.9839
10 O 0.7192 0.3007 0.5161
11 O 0.7696 0.8810 0.1329
12 O 0.8810 0.7696 0.6329


No. 9
DFT (GGA-PBE) results for a relaxed structure of ErNiBi.

Values from the calculation:
Formation enthalpy at 0 K = -0.67 eV per atom
DFT total energy = -16.2 eV for the cell shown

Cell: 4.5621 4.5621 4.5621 Å, 60.00 60.00 60.00°
Sites, in units of the cell vectors:
1 Er 0.0000 0.0000 0.0000
2 Ni 0.7500 0.7500 0.7500
3 Bi 0.5000 0.5000 0.5000


No. 10
DFT (GGA-PBE) results for a relaxed structure of Cu2AgPd.

Values from the calculation:
Formation enthalpy at 0 K = 0.30 eV per atom
DFT total energy = -30.1 eV for the cell shown

Cell: 9.3799 9.3799 9.3799 Å, 156.78 156.78 33.08°
Sites, in units of the cell vectors:
1 Cu 0.1139 0.6250 0.9889
2 Cu 0.3750 0.3639 0.4889
3 Cu 0.6361 0.1250 0.0111
4 Cu 0.8750 0.8861 0.5111
5 Ag 0.2500 0.7500 0.5000
6 Ag 0.5000 0.5000 0.0000
7 Pd 0.0000 0.0000 0.0000
8 Pd 0.7500 0.2500 0.5000


No. 11
DFT (GGA-PBE) results for a relaxed structure of Tb5P12Ru19.

Values from the calculation:
Formation enthalpy at 0 K = -0.86 eV per atom
DFT total energy = -295.4 eV for the cell shown

Cell: 12.5396 12.5396 3.9842 Å, 90.00 90.00 120.00°
Sites, in units of the cell vectors:
1 Tb 0.0000 0.1835 0.0000
2 Tb 0.1835 0.0000 0.0000
3 Tb 0.3333 0.6667 0.5000
4 Tb 0.6667 0.3333 0.5000
5 Tb 0.8165 0.8165 0.0000
6 P 0.0000 0.3731 0.5000
7 P 0.0000 0.8152 0.5000
8 P 0.1716 0.6942 0.0000
9 P 0.1848 0.1848 0.5000
10 P 0.3058 0.4774 0.0000
11 P 0.3731 0.0000 0.5000
12 P 0.4774 0.3058 0.0000
13 P 0.5226 0.8284 0.0000
14 P 0.6269 0.6269 0.5000
15 P 0.6942 0.1716 0.0000
16 P 0.8152 0.0000 0.5000
17 P 0.8284 0.5226 0.0000
18 Ru 0.0000 0.0000 0.5000
19 Ru 0.0000 0.5547 0.5000
20 Ru 0.0000 0.7168 0.0000
21 Ru 0.1257 0.4921 0.0000
22 Ru 0.1849 0.8078 0.5000
23 Ru 0.1922 0.3771 0.5000
24 Ru 0.2832 0.2832 0.0000
25 Ru 0.3664 0.8743 0.0000
26 Ru 0.3771 0.1922 0.5000
27 Ru 0.4453 0.4453 0.5000
28 Ru 0.4921 0.1257 0.0000
29 Ru 0.5079 0.6336 0.0000
30 Ru 0.5547 0.0000 0.5000
31 Ru 0.6229 0.8151 0.5000
32 Ru 0.6336 0.5079 0.0000
33 Ru 0.7168 0.0000 0.0000
34 Ru 0.8078 0.1849 0.5000
35 Ru 0.8151 0.6229 0.5000
36 Ru 0.8743 0.3664 0.0000


No. 12
DFT (GGA-PBE) results for a relaxed structure of Tb2Pm6Y3Tm.

Values from the calculation:
Formation enthalpy at 0 K = 0.01 eV per atom
DFT total energy = -61.5 eV for the cell shown

Cell: 6.2520 6.2520 11.8583 Å, 95.03 95.03 119.99°
Sites, in units of the cell vectors:
1 Tb 0.1667 0.8333 0.0000
2 Tb 0.8333 0.1667 0.0000
3 Pm 0.0840 0.4168 0.7512
4 Pm 0.2503 0.2503 0.2490
5 Pm 0.4168 0.0840 0.7512
6 Pm 0.5832 0.9160 0.2488
7 Pm 0.7497 0.7497 0.7510
8 Pm 0.9160 0.5832 0.2488
9 Y 0.0000 0.0000 0.5000
10 Y 0.3335 0.6665 0.5000
11 Y 0.6665 0.3335 0.5000
12 Tm 0.5000 0.5000 0.0000


No. 13
DFT (GGA-PBE) results for a relaxed structure of ZnRhBr2.

Values from the calculation:
Offset from the most stable computed form = 0.1906 eV per atom
E_form (uncorrected) = -15 meV per atom
DFT total energy = -12.0 eV for the cell shown

Cell: 3.5471 3.5471 8.9011 Å, 90.00 90.00 120.36°
Sites, in units of the cell vectors:
1 Zn 0.0000 0.0000 0.0000
2 Rh 0.5000 0.5000 0.7851
3 Br 0.0000 0.0000 0.5956
4 Br 0.5000 0.5000 0.1954


No. 14
DFT (GGA-PBE) results for a relaxed structure of Mg4InCu.

Values from the calculation:
Offset from the most stable computed form = 0.2873 eV per atom
Formation enthalpy at 0 K = 0.21 eV per atom
DFT total energy = -12.0 eV for the cell shown

Cell: 5.7065 5.7065 5.7065 Å, 60.00 60.00 60.00°
Sites, in units of the cell vectors:
1 Mg 0.1247 0.1247 0.1247
2 Mg 0.1247 0.1247 0.6258
3 Mg 0.1247 0.6258 0.1247
4 Mg 0.6258 0.1247 0.1247
5 In 0.5000 0.5000 0.5000
6 Cu 0.7500 0.7500 0.7500


No. 15
DFT (GGA-PBE) results for a relaxed structure of ErMg2CuAu4.

Values from the calculation:
Formation enthalpy at 0 K = -0.54 eV per atom
DFT total energy = -29.3 eV for the cell shown

Cell: 8.3583 8.3583 8.3583 Å, 32.44 32.44 32.44°
Sites, in units of the cell vectors:
1 Er 0.0000 0.0000 0.0000
2 Mg 0.2434 0.2434 0.2434
3 Mg 0.7566 0.7566 0.7566
4 Cu 0.5000 0.5000 0.5000
5 Au 0.1265 0.1265 0.1265
6 Au 0.3878 0.3878 0.3878
7 Au 0.6122 0.6122 0.6122
8 Au 0.8735 0.8735 0.8735


No. 16
DFT (GGA-PBE) results for a relaxed structure of PmNd5Pd4.

Values from the calculation:
Formation enthalpy at 0 K = -0.52 eV per atom
DFT total energy = -54.6 eV for the cell shown

Cell: 9.9421 9.9421 7.9543 Å, 113.52 113.52 24.54°
Sites, in units of the cell vectors:
1 Pm 0.0000 0.0000 0.0000
2 Nd 0.0000 0.0000 0.5000
3 Nd 0.3362 0.3362 0.0826
4 Nd 0.3361 0.3361 0.5893
5 Nd 0.6639 0.6639 0.4107
6 Nd 0.6638 0.6638 0.9174
7 Pd 0.2057 0.2057 0.2058
8 Pd 0.5000 0.5000 0.2507
9 Pd 0.5000 0.5000 0.7493
10 Pd 0.7943 0.7943 0.7942


No. 17
DFT (GGA-PBE) results for a relaxed structure of CeNi2P.

Values from the calculation:
Formation enthalpy at 0 K = -0.67 eV per atom
DFT total energy = -25.6 eV for the cell shown

Cell: 3.8301 3.8651 4.7210 Å, 90.00 90.00 90.00°
Sites, in units of the cell vectors:
1 Ce 0.0000 0.0000 0.0000
2 Ni 0.5000 0.5000 0.2503
3 Ni 0.5000 0.5000 0.7497
4 P 0.0000 0.5000 0.5000


No. 18
DFT (GGA-PBE) results for a relaxed structure of NaCaGa.

Values from the calculation:
Offset from the most stable computed form = 0.1758 eV per atom
Formation enthalpy at 0 K = -0.09 eV per atom
DFT total energy = -6.6 eV for the cell shown

Cell: 5.1846 5.1846 3.5254 Å, 90.00 90.00 120.00°
Sites, in units of the cell vectors:
1 Na 0.0000 0.0000 0.0000
2 Ca 0.3333 0.6667 0.5000
3 Ga 0.6667 0.3333 0.0000


No. 19
DFT (GGA-PBE) results for a relaxed structure of Ac3Ru.

Values from the calculation:
Offset from the most stable computed form = 0.0494 eV per atom
Formation enthalpy at 0 K = -0.08 eV per atom
DFT total energy = -21.9 eV for the cell shown

Cell: 8.8974 8.8974 8.8974 Å, 152.42 152.42 39.40°
Sites, in units of the cell vectors:
1 Ac 0.0000 0.0000 0.0000
2 Ac 0.3306 0.3306 0.0000
3 Ac 0.6694 0.6694 0.0000
4 Ru 0.5000 0.5000 0.0000


No. 20
DFT (GGA-PBE) results for a relaxed structure of Pr4Hg2Ir.

Values from the calculation:
Offset from the most stable computed form = 0.1061 eV per atom
Formation enthalpy at 0 K = -0.36 eV per atom
DFT total energy = -62.2 eV for the cell shown

Cell: 6.1805 6.7535 10.3518 Å, 90.00 103.61 90.00°
Sites, in units of the cell vectors:
1 Pr 0.1592 0.2500 0.0948
2 Pr 0.2544 0.0096 0.7495
3 Pr 0.2544 0.4904 0.7495
4 Pr 0.3009 0.7500 0.4300
5 Pr 0.6991 0.2500 0.5700
6 Pr 0.7456 0.5096 0.2505
7 Pr 0.7456 0.9904 0.2505
8 Pr 0.8408 0.7500 0.9052
9 Hg 0.1593 0.2500 0.4447
10 Hg 0.3882 0.7500 0.0146
11 Hg 0.6118 0.2500 0.9854
12 Hg 0.8407 0.7500 0.5553
13 Ir 0.0801 0.7500 0.1725
14 Ir 0.9199 0.2500 0.8275


No. 21
DFT (GGA-PBE) results for a relaxed structure of CaGa2Pd4.

Values from the calculation:
Offset from the most stable computed form = 0.2746 eV per atom
Formation enthalpy at 0 K = -0.42 eV per atom
DFT total energy = -31.7 eV for the cell shown

Cell: 9.8675 9.8675 9.8675 Å, 157.65 157.65 31.81°
Sites, in units of the cell vectors:
1 Ca 0.0000 0.0000 0.0000
2 Ga 0.3483 0.3483 0.0000
3 Ga 0.6517 0.6517 0.0000
4 Pd 0.1389 0.1389 0.0000
5 Pd 0.2500 0.7500 0.5000
6 Pd 0.7500 0.2500 0.5000
7 Pd 0.8611 0.8611 0.0000


No. 22
DFT (GGA-PBE) results for a relaxed structure of Ac7Pr3Sm2.

Values from the calculation:
Formation enthalpy at 0 K = 0.10 eV per atom
DFT total energy = -51.4 eV for the cell shown

Cell: 6.9956 3.7947 18.6543 Å, 90.00 96.12 90.00°
Sites, in units of the cell vectors:
1 Ac 0.0000 0.0000 0.0000
2 Ac 0.2271 0.5000 0.1753
3 Ac 0.2534 0.5000 0.4945
4 Ac 0.2755 0.0000 0.8302
5 Ac 0.7245 0.0000 0.1698
6 Ac 0.7466 0.5000 0.5055
7 Ac 0.7729 0.5000 0.8247
8 Pr 0.4600 0.0000 0.3412
9 Pr 0.5000 0.5000 0.0000
10 Pr 0.5400 0.0000 0.6588
11 Sm 0.0587 0.5000 0.6687
12 Sm 0.9413 0.5000 0.3313


No. 23
DFT (GGA-PBE) results for a relaxed structure of YbAu.

Values from the calculation:
Formation enthalpy at 0 K = -0.87 eV per atom
DFT total energy = -6.5 eV for the cell shown

Cell: 3.6168 3.6168 3.6168 Å, 90.00 90.00 90.00°
Sites, in units of the cell vectors:
1 Yb 0.0000 0.0000 0.0000
2 Au 0.5000 0.5000 0.5000